No. 1
First-principles (GGA-PBEsol) data for an optimized crystal structure of Ta5Si3N, as listed in the Alexandria database.

Computed properties:
Formation energy (no corrections) = -0.791 eV per atom
Symmetry = P6_3/mcm (193)

a b c (Å): 7.4169 7.4169 5.3596
angles (deg): 90.00 90.00 120.00
With the nearest neighbours (Å) after each atom.
Element x y z (fractional)
Ta 0.0000 0.2345 0.2500  2 N 2.20
Ta 0.0000 0.7655 0.7500  2 N 2.20
Ta 0.2345 0.0000 0.2500  2 N 2.20
Ta 0.2345 0.2345 0.7500  2 N 2.20
Ta 0.3333 0.6667 0.0000  6 Si 2.62, 2 Ta 2.68
Ta 0.3333 0.6667 0.5000  6 Si 2.62, 2 Ta 2.68
Ta 0.6667 0.3333 0.0000  6 Si 2.62, 2 Ta 2.68
Ta 0.6667 0.3333 0.5000  6 Si 2.62, 2 Ta 2.68
Ta 0.7655 0.0000 0.7500  2 N 2.20
Ta 0.7655 0.7655 0.2500  2 N 2.20
Si 0.0000 0.4056 0.7500  7 Ta 2.62-2.67
Si 0.0000 0.5944 0.2500  7 Ta 2.62-2.67
Si 0.4056 0.0000 0.7500  7 Ta 2.62-2.67
Si 0.4056 0.4056 0.2500  7 Ta 2.62-2.67
Si 0.5944 0.0000 0.2500  7 Ta 2.62-2.67
Si 0.5944 0.5944 0.7500  7 Ta 2.62-2.67
N 0.0000 0.0000 0.0000  6 Ta 2.20
N 0.0000 0.0000 0.5000  6 Ta 2.20

No. 2
First-principles (GGA-PBEsol) data for an optimized crystal structure of SiTcN3, as listed in the Alexandria database.

Computed properties:
Formation energy (no corrections) = 0.851 eV per atom
Symmetry = Pm-3m (221)

a b c (Å): 3.8442 3.8442 3.8442
angles (deg): 90.00 90.00 90.00
With the nearest neighbours (Å) after each atom.
Element x y z (fractional)
Si 0.0000 0.0000 0.0000  12 N 2.72
Tc 0.5000 0.5000 0.5000  6 N 1.92
N 0.0000 0.5000 0.5000  2 Tc 1.92
N 0.5000 0.0000 0.5000  2 Tc 1.92
N 0.5000 0.5000 0.0000  2 Tc 1.92